5
Lattice="4.476 0.000 0.000 0.000 4.476 0.000 0.000 0.000 4.476" Properties=species:S:1:pos:R:3 comment="CrCl3O | Alexandria | GGA+U | optimized geometry" final_energy_ev_per_atom=-2.450 sg="Pm-3m (221)" m_tot_mub_per_cell=1.46 pbc="T T T"
Cr 0.000 0.000 0.000
Cl 0.000 2.238 2.238
Cl 2.238 0.000 2.238
Cl 2.238 2.238 0.000
O 2.238 2.238 2.238